# 1
{"formula": "Tm2Se3", "functional": "GGA-PBE", "state": "optimized geometry", "raw_formation_energy_kcal_per_mol_atoms": -41.3, "sg": "I-42d (122)", "magnetic_moment_mub_per_fu": 0.000, "e_tot_ev_per_cell": -226.811, "rho_g_cm3": 8.0, "cell": [[-4.303, 4.303, 12.917], [4.303, -4.303, 12.917], [4.303, 4.303, -12.917]], "species": ["Tm", "Tm", "Tm", "Tm", "Tm", "Tm", "Tm", "Tm", "Tm", "Tm", "Tm", "Tm", "Tm", "Tm", "Tm", "Tm", "Se", "Se", "Se", "Se", "Se", "Se", "Se", "Se", "Se", "Se", "Se", "Se", "Se", "Se", "Se", "Se", "Se", "Se", "Se", "Se", "Se", "Se", "Se", "Se"], "fractional_positions": [[0.050, 0.154, 0.627], [0.165, 0.165, 0.000], [0.173, 0.777, 0.873], [0.223, 0.096, 0.396], [0.261, 0.625, 0.136], [0.375, 0.511, 0.636], [0.489, 0.125, 0.864], [0.527, 0.423, 0.373], [0.577, 0.950, 0.104], [0.585, 0.085, 0.500], [0.700, 0.827, 0.604], [0.835, 0.835, 0.000], [0.846, 0.473, 0.896], [0.875, 0.739, 0.364], [0.904, 0.300, 0.127], [0.915, 0.415, 0.500], [0.075, 0.460, 0.248], [0.173, 0.925, 0.385], [0.188, 0.446, 0.100], [0.196, 0.438, 0.600], [0.210, 0.325, 0.748], [0.212, 0.827, 0.752], [0.247, 0.128, 0.244], [0.347, 0.089, 0.900], [0.403, 0.804, 0.242], [0.503, 0.247, 0.381], [0.538, 0.790, 0.115], [0.540, 0.788, 0.615], [0.554, 0.653, 0.742], [0.562, 0.161, 0.758], [0.577, 0.462, 0.252], [0.675, 0.423, 0.885], [0.753, 0.134, 0.256], [0.839, 0.597, 0.400], [0.866, 0.122, 0.619], [0.872, 0.116, 0.119], [0.878, 0.497, 0.744], [0.884, 0.003, 0.756], [0.911, 0.812, 0.258], [0.997, 0.753, 0.881]]}


# 2
{"formula": "Y6Tm12Sc", "functional": "GGA-PBE", "state": "optimized geometry", "sg": "R-3m (166)", "magnetic_moment_mub_per_fu": 0.000, "e_tot_ev_per_cell": -90.045, "formation_energy_ev_per_atom": 0.46, "rho_g_cm3": 6.8, "cell": [[7.589, 4.382, 3.181], [-7.589, 4.382, 3.181], [0.000, -8.763, 3.181]], "species": ["Y", "Y", "Y", "Y", "Y", "Y", "Tm", "Tm", "Tm", "Tm", "Tm", "Tm", "Tm", "Tm", "Tm", "Tm", "Tm", "Tm", "Sc"], "fractional_positions": [[0.270, 0.664, 0.664], [0.336, 0.336, 0.730], [0.336, 0.730, 0.336], [0.664, 0.270, 0.664], [0.664, 0.664, 0.270], [0.730, 0.336, 0.336], [0.080, 0.305, 0.305], [0.109, 0.500, 0.891], [0.109, 0.891, 0.500], [0.305, 0.080, 0.305], [0.305, 0.305, 0.080], [0.500, 0.109, 0.891], [0.500, 0.891, 0.109], [0.695, 0.695, 0.920], [0.695, 0.920, 0.695], [0.891, 0.109, 0.500], [0.891, 0.500, 0.109], [0.920, 0.695, 0.695], [0.000, 0.000, 0.000]]}


# 3
{"formula": "RbLiTcBr6", "functional": "GGA-PBE", "state": "optimized geometry", "raw_formation_energy_kcal_per_mol_atoms": -22.0, "sg": "P-31c (163)", "magnetic_moment_mub_per_fu": 2.999, "e_tot_ev_per_cell": -63.742, "rho_g_cm3": 3.5, "cell": [[6.915, 0.000, 0.000], [-3.458, 5.989, 0.000], [0.000, 0.000, 15.391]], "species": ["Rb", "Rb", "Li", "Li", "Tc", "Tc", "Br", "Br", "Br", "Br", "Br", "Br", "Br", "Br", "Br", "Br", "Br", "Br"], "fractional_positions": [[0.000, 0.000, 0.000], [0.000, 0.000, 0.500], [0.333, 0.667, 0.250], [0.667, 0.333, 0.750], [0.333, 0.667, 0.750], [0.667, 0.333, 0.250], [0.022, 0.381, 0.654], [0.022, 0.642, 0.846], [0.358, 0.381, 0.846], [0.358, 0.978, 0.654], [0.381, 0.022, 0.154], [0.381, 0.358, 0.346], [0.619, 0.642, 0.654], [0.619, 0.978, 0.846], [0.642, 0.022, 0.346], [0.642, 0.619, 0.154], [0.978, 0.358, 0.154], [0.978, 0.619, 0.346]]}


# 4
{"formula": "Sr2SnSbRh6", "functional": "GGA-PBE", "state": "optimized geometry", "raw_formation_energy_kcal_per_mol_atoms": -6.7, "sg": "P-1 (2)", "magnetic_moment_mub_per_fu": 0.000, "e_tot_ev_per_cell": -58.502, "rho_g_cm3": 8.5, "cell": [[5.642, 0.000, 0.000], [2.780, 6.000, 0.000], [2.774, 1.094, 5.943]], "species": ["Sr", "Sr", "Sn", "Sb", "Rh", "Rh", "Rh", "Rh", "Rh", "Rh"], "fractional_positions": [[0.009, 0.244, 0.241], [0.991, 0.756, 0.759], [0.500, 0.500, 0.000], [0.500, 0.000, 0.500], [0.002, 0.211, 0.783], [0.328, 0.446, 0.445], [0.497, 0.800, 0.205], [0.503, 0.200, 0.795], [0.672, 0.554, 0.555], [0.998, 0.789, 0.217]]}


# 5
{"formula": "La2Th4Sn3N2", "functional": "GGA-PBE", "state": "optimized geometry", "raw_formation_energy_kcal_per_mol_atoms": -21.1, "sg": "I4/mmm (139)", "magnetic_moment_mub_per_fu": 0.001, "e_tot_ev_per_cell": -78.270, "rho_g_cm3": 8.4, "cell": [[-2.430, 2.430, 13.237], [2.430, -2.430, 13.237], [2.430, 2.430, -13.237]], "species": ["La", "La", "Th", "Th", "Th", "Th", "Sn", "Sn", "Sn", "N", "N"], "fractional_positions": [[0.196, 0.196, 0.000], [0.804, 0.804, 0.000], [0.082, 0.582, 0.500], [0.418, 0.918, 0.500], [0.582, 0.082, 0.500], [0.918, 0.418, 0.500], [0.326, 0.326, 0.000], [0.500, 0.500, 0.000], [0.674, 0.674, 0.000], [0.099, 0.099, 0.000], [0.901, 0.901, 0.000]]}


# 6
{"formula": "RbZrSi", "functional": "GGA-PBE", "state": "optimized geometry", "raw_formation_energy_kcal_per_mol_atoms": 1.3, "sg": "Pm (6)", "magnetic_moment_mub_per_fu": 0.592, "e_tot_ev_per_cell": -29.535, "rho_g_cm3": 3.1, "cell": [[4.109, 0.000, 0.000], [0.000, 5.984, 0.000], [-0.031, 0.000, 8.850]], "species": ["Rb", "Rb", "Zr", "Zr", "Si", "Si"], "fractional_positions": [[0.000, 0.000, 0.000], [0.495, 0.500, 0.314], [0.996, 0.000, 0.552], [0.997, 0.500, 0.710], [0.497, 0.210, 0.681], [0.497, 0.790, 0.681]]}


# 7
{"formula": "LaInMo2", "functional": "GGA-PBE", "state": "optimized geometry", "sg": "Pm (6)", "magnetic_moment_mub_per_fu": 0.000, "e_tot_ev_per_cell": -29.029, "formation_energy_ev_per_atom": 0.07, "rho_g_cm3": 8.5, "cell": [[3.286, 0.000, 0.000], [0.000, 3.296, 0.000], [-0.014, 0.000, 8.009]], "species": ["La", "In", "Mo", "Mo"], "fractional_positions": [[0.000, 0.000, 0.000], [0.500, 0.500, 0.674], [0.499, 0.500, 0.281], [0.999, 0.000, 0.439]]}


# 8
{"formula": "ThPaB2O8", "functional": "GGA-PBE", "state": "optimized geometry", "raw_formation_energy_kcal_per_mol_atoms": -64.3, "sg": "P-3m1 (164)", "magnetic_moment_mub_per_fu": 0.969, "e_tot_ev_per_cell": -103.400, "rho_g_cm3": 6.6, "cell": [[5.034, 0.000, 0.000], [-2.517, 4.360, 0.000], [0.000, 0.000, 7.029]], "species": ["Th", "Pa", "B", "B", "O", "O", "O", "O", "O", "O", "O", "O"], "fractional_positions": [[0.000, 0.000, 0.000], [0.000, 0.000, 0.500], [0.333, 0.667, 0.210], [0.667, 0.333, 0.790], [0.174, 0.349, 0.281], [0.174, 0.826, 0.281], [0.333, 0.667, 0.003], [0.349, 0.174, 0.719], [0.651, 0.826, 0.281], [0.667, 0.333, 0.997], [0.826, 0.174, 0.719], [0.826, 0.651, 0.719]]}